[1]
This record from Alexandria describes CdIr2 after structural relaxation. The functional is PBE.

Summary:
theoretical density = 17085 kg/m³
ΔE_f = 55.6 kJ/mol of formula units
electronic total energy = -6.02 eV per atom
size of the total moment = 0.0 μB per cell

Geometry as CIF:
```
data_CdIr2
_symmetry_space_group_name_H-M 'C m c m'
_symmetry_Int_Tables_number 63
_symmetry_space_group_name_Hall '-C 2c 2'
_cell_length_a 2.806
_cell_length_b 14.912
_cell_length_c 4.616
_cell_angle_alpha 90.00
_cell_angle_beta 90.00
_cell_angle_gamma 90.00
loop_
_atom_site_label
_atom_site_type_symbol
_atom_site_fract_x
_atom_site_fract_y
_atom_site_fract_z
_atom_site_occupancy
Cd1 Cd 0.000 0.219 0.250 1
Ir1 Ir 0.000 0.102 0.750 1
Ir2 Ir 0.000 0.449 0.750 1
```

***

[2]
This record from Alexandria describes Be6NiIr3 after structural relaxation. The functional is PBE.

Summary:
theoretical density = 11257 kg/m³
ΔE_f = -490.7 kJ/mol of formula units
electronic total energy = -5.98 eV per atom
size of the total moment = 0.0 μB per cell

Geometry as CIF:
```
data_Be6NiIr3
_symmetry_space_group_name_H-M 'P 1 21/m 1'
_symmetry_Int_Tables_number 11
_cell_length_a 6.514
_cell_length_b 3.900
_cell_length_c 8.445
_cell_angle_alpha 90.00
_cell_angle_beta 108.58
_cell_angle_gamma 90.00
loop_
_symmetry_equiv_pos_as_xyz
'x,y,z'
'-x,-y,-z'
'-x,y+1/2,-z'
'x,-y+1/2,z'
loop_
_atom_site_label
_atom_site_type_symbol
_atom_site_fract_x
_atom_site_fract_y
_atom_site_fract_z
_atom_site_occupancy
Be1 Be 0.038 0.250 0.356 1
Be2 Be 0.140 0.750 0.204 1
Be3 Be 0.169 0.250 0.690 1
Be4 Be 0.252 0.250 0.995 1
Be5 Be 0.343 0.750 0.809 1
Be6 Be 0.459 0.250 0.589 1
Ni1 Ni 0.046 0.750 0.919 1
Ir1 Ir 0.202 0.750 0.503 1
Ir2 Ir 0.348 0.250 0.300 1
Ir3 Ir 0.458 0.750 0.109 1
```

***

[3]
This record from Alexandria describes AlSbP2 after structural relaxation. The functional is PBE.

Summary:
theoretical density = 4586 kg/m³
distance to the lowest polymorph of the same formula = 387 meV per atom
electronic total energy = -4.35 eV per atom
size of the total moment = 0.0 μB per cell

Geometry as CIF:
```
data_AlSbP2
_symmetry_space_group_name_H-M 'I m m 2'
_symmetry_Int_Tables_number 44
_cell_length_a 3.282
_cell_length_b 5.370
_cell_length_c 8.655
_cell_angle_alpha 90.00
_cell_angle_beta 90.00
_cell_angle_gamma 90.00
loop_
_symmetry_equiv_pos_as_xyz
'x,y,z'
'-x,-y,z'
'-x,y,z'
'x,-y,z'
'x+1/2,y+1/2,z+1/2'
'-x+1/2,-y+1/2,z+1/2'
'-x+1/2,y+1/2,z+1/2'
'x+1/2,-y+1/2,z+1/2'
loop_
_atom_site_label
_atom_site_type_symbol
_atom_site_fract_x
_atom_site_fract_y
_atom_site_fract_z
_atom_site_occupancy
Al1 Al 0.000 0.000 0.000 1
Sb1 Sb 0.000 0.500 0.786 1
P1 P 0.000 0.000 0.581 1
P2 P 0.000 0.500 0.263 1
```

***

[4]
This record from Alexandria describes SrScAsSe2 after structural relaxation. The functional is PBE.

Summary:
theoretical density = 3643 kg/m³
distance to the lowest polymorph of the same formula = 1273 meV per atom
electronic total energy = -3.74 eV per atom
size of the total moment = 0.0 μB per cell

Geometry as CIF:
```
data_SrScAsSe2
_symmetry_space_group_name_H-M 'P 4/m m m'
_symmetry_Int_Tables_number 123
_symmetry_space_group_name_Hall '-P 4 2'
_cell_length_a 5.542
_cell_length_b 5.542
_cell_length_c 5.422
_cell_angle_alpha 90.00
_cell_angle_beta 90.00
_cell_angle_gamma 90.00
loop_
_atom_site_label
_atom_site_type_symbol
_atom_site_fract_x
_atom_site_fract_y
_atom_site_fract_z
_atom_site_occupancy
Sr1 Sr 0.000 0.000 0.000 1
Sc1 Sc 0.500 0.500 0.500 1
As1 As 0.000 0.000 0.500 1
Se1 Se 0.000 0.500 0.000 1
```

***

[5]
This record from Alexandria describes Cs2Cu2Br7 after structural relaxation. The functional is PBE.

Summary:
theoretical density = 4131 kg/m³
distance to the lowest polymorph of the same formula = 246 meV per atom
electronic total energy = -2.51 eV per atom
size of the total moment = 5.1 μB per cell

Geometry as CIF:
```
data_Cs2Cu2Br7
_symmetry_space_group_name_H-M 'C m m m'
_symmetry_Int_Tables_number 65
_symmetry_space_group_name_Hall '-C 2 2'
_cell_length_a 7.955
_cell_length_b 11.422
_cell_length_c 8.425
_cell_angle_alpha 90.00
_cell_angle_beta 90.00
_cell_angle_gamma 90.00
loop_
_atom_site_label
_atom_site_type_symbol
_atom_site_fract_x
_atom_site_fract_y
_atom_site_fract_z
_atom_site_occupancy
Cs1 Cs 0.226 0.000 0.000 1
Cu1 Cu 0.000 0.225 0.500 1
Br1 Br 0.000 0.000 0.500 1
Br2 Br 0.000 0.500 0.298 1
Br3 Br 0.250 0.250 0.301 1
```

***

[6]
This record from Alexandria describes BaRePb after structural relaxation. The functional is PBE.

Summary:
theoretical density = 10506 kg/m³
distance to the lowest polymorph of the same formula = 0 meV per atom
ΔE_f = 223.6 kJ/mol of formula units
electronic total energy = -5.25 eV per atom
size of the total moment = 1.6 μB per cell

Geometry as CIF:
```
data_BaRePb
_symmetry_space_group_name_H-M 'I 4 m m'
_symmetry_Int_Tables_number 107
_symmetry_space_group_name_Hall 'I 4 -2'
_cell_length_a 3.659
_cell_length_b 3.659
_cell_length_c 12.532
_cell_angle_alpha 90.00
_cell_angle_beta 90.00
_cell_angle_gamma 90.00
loop_
_atom_site_label
_atom_site_type_symbol
_atom_site_fract_x
_atom_site_fract_y
_atom_site_fract_z
_atom_site_occupancy
Ba1 Ba 0.000 0.000 0.000 1
Re1 Re 0.000 0.000 0.312 1
Pb1 Pb 0.000 0.000 0.720 1
```

***

[7]
This record from Alexandria describes PmDy3Hg after structural relaxation. The functional is PBE.

Summary:
theoretical density = 9114 kg/m³
distance to the lowest polymorph of the same formula = 23 meV per atom
ΔE_f = -41.2 kJ/mol of formula units
electronic total energy = -3.86 eV per atom
size of the total moment = 0.0 μB per cell

Geometry as CIF:
```
data_PmDy3Hg
_symmetry_space_group_name_H-M 'C 1 2/m 1'
_symmetry_Int_Tables_number 12
_cell_length_a 21.692
_cell_length_b 3.561
_cell_length_c 8.170
_cell_angle_alpha 90.00
_cell_angle_beta 105.87
_cell_angle_gamma 90.00
loop_
_symmetry_equiv_pos_as_xyz
'x,y,z'
'-x,-y,-z'
'-x,y,-z'
'x,-y,z'
'x+1/2,y+1/2,z'
'-x+1/2,-y+1/2,-z'
'-x+1/2,y+1/2,-z'
'x+1/2,-y+1/2,z'
loop_
_atom_site_label
_atom_site_type_symbol
_atom_site_fract_x
_atom_site_fract_y
_atom_site_fract_z
_atom_site_occupancy
Pm1 Pm 0.238 0.000 0.322 1
Dy1 Dy 0.013 0.500 0.740 1
Dy2 Dy 0.115 0.000 0.540 1
Dy3 Dy 0.173 0.500 0.949 1
Hg1 Hg 0.081 0.000 0.109 1
```

***

[8]
This record from Alexandria describes CaMgNbTe2 after structural relaxation. The functional is PBE.

Summary:
theoretical density = 4429 kg/m³
electronic total energy = -4.11 eV per atom
size of the total moment = 0.0 μB per cell

Geometry as CIF:
```
data_CaMgNbTe2
_symmetry_space_group_name_H-M 'P 4/m m m'
_symmetry_Int_Tables_number 123
_symmetry_space_group_name_Hall '-P 4 2'
_cell_length_a 5.451
_cell_length_b 5.451
_cell_length_c 5.204
_cell_angle_alpha 90.00
_cell_angle_beta 90.00
_cell_angle_gamma 90.00
loop_
_atom_site_label
_atom_site_type_symbol
_atom_site_fract_x
_atom_site_fract_y
_atom_site_fract_z
_atom_site_occupancy
Ca1 Ca 0.000 0.000 0.000 1
Mg1 Mg 0.500 0.500 0.000 1
Nb1 Nb 0.500 0.500 0.500 1
Te1 Te 0.000 0.500 0.500 1
```

***

[9]
This record from Alexandria describes SrZn2TcO6 after structural relaxation. The functional is PBE.

Summary:
theoretical density = 4203 kg/m³
electronic total energy = -6.03 eV per atom
size of the total moment = 4.0 μB per cell

Geometry as CIF:
```
data_SrZn2TcO6
_symmetry_space_group_name_H-M 'C 1 2/c 1'
_symmetry_Int_Tables_number 15
_cell_length_a 11.693
_cell_length_b 9.976
_cell_length_c 6.607
_cell_angle_alpha 90.00
_cell_angle_beta 122.26
_cell_angle_gamma 90.00
loop_
_symmetry_equiv_pos_as_xyz
'x,y,z'
'-x,-y,-z'
'-x,y,-z+1/2'
'x,-y,z+1/2'
'x+1/2,y+1/2,z'
'-x+1/2,-y+1/2,-z'
'-x+1/2,y+1/2,-z+1/2'
'x+1/2,-y+1/2,z+1/2'
loop_
_atom_site_label
_atom_site_type_symbol
_atom_site_fract_x
_atom_site_fract_y
_atom_site_fract_z
_atom_site_occupancy
Sr1 Sr 0.000 0.242 0.250 1
Zn1 Zn 0.196 0.472 0.188 1
Tc1 Tc 0.000 0.184 0.750 1
O1 O 0.100 0.101 0.656 1
O2 O 0.114 0.276 0.014 1
O3 O 0.172 0.420 0.438 1
```

***

[10]
This record from Alexandria describes VGaRh2 after structural relaxation. The functional is PBE.

Summary:
theoretical density = 8668 kg/m³
ΔE_f = -98.4 kJ/mol of formula units
electronic total energy = -6.97 eV per atom
size of the total moment = 0.0 μB per cell

Geometry as CIF:
```
data_VGaRh2
_symmetry_space_group_name_H-M 'R 3 m'
_symmetry_Int_Tables_number 160
_symmetry_space_group_name_Hall 'R 3 -2"'
_cell_length_a 4.0608
_cell_length_b 4.0608
_cell_length_c 13.1382
_cell_angle_alpha 90.00
_cell_angle_beta 90.00
_cell_angle_gamma 120.00
loop_
_atom_site_label
_atom_site_type_symbol
_atom_site_fract_x
_atom_site_fract_y
_atom_site_fract_z
_atom_site_occupancy
V1 V 0.0000 0.0000 0.0000 1
Ga1 Ga 0.0000 0.0000 0.8048 1
Rh1 Rh 0.0000 0.0000 0.3805 1
Rh2 Rh 0.0000 0.0000 0.5861 1
```

***

[11]
This record from Alexandria describes Tc2IrW after structural relaxation. The functional is PBE.

Summary:
theoretical density = 15665 kg/m³
distance to the lowest polymorph of the same formula = 373 meV per atom
ΔE_f = 97.0 kJ/mol of formula units
electronic total energy = -10.39 eV per atom
size of the total moment = 1.3 μB per cell

Geometry as CIF:
```
data_Tc2IrW
_symmetry_space_group_name_H-M 'F m -3 m'
_symmetry_Int_Tables_number 225
_symmetry_space_group_name_Hall '-F 4 2 3'
_cell_length_a 6.237
_cell_length_b 6.237
_cell_length_c 6.237
_cell_angle_alpha 90.00
_cell_angle_beta 90.00
_cell_angle_gamma 90.00
loop_
_atom_site_label
_atom_site_type_symbol
_atom_site_fract_x
_atom_site_fract_y
_atom_site_fract_z
_atom_site_occupancy
Tc1 Tc 0.250 0.250 0.250 1
Ir1 Ir 0.000 0.000 0.000 1
W1 W 0.000 0.000 0.500 1
```

***

[12]
This record from Alexandria describes TlSnSe2 after structural relaxation. The functional is PBE.

Summary:
theoretical density = 6466 kg/m³
electronic total energy = -3.69 eV per atom
size of the total moment = 0.0 μB per cell

Geometry as CIF:
```
data_TlSnSe2
_symmetry_space_group_name_H-M 'P n m a'
_symmetry_Int_Tables_number 62
_cell_length_a 7.931
_cell_length_b 4.286
_cell_length_c 14.537
_cell_angle_alpha 90.00
_cell_angle_beta 90.00
_cell_angle_gamma 90.00
loop_
_symmetry_equiv_pos_as_xyz
'x,y,z'
'-x,-y,-z'
'-x+1/2,-y,z+1/2'
'x+1/2,y,-z+1/2'
'x+1/2,-y+1/2,-z+1/2'
'-x+1/2,y+1/2,z+1/2'
'-x,y+1/2,-z'
'x,-y+1/2,z'
loop_
_atom_site_label
_atom_site_type_symbol
_atom_site_fract_x
_atom_site_fract_y
_atom_site_fract_z
_atom_site_occupancy
Tl1 Tl 0.078 0.250 0.141 1
Sn1 Sn 0.078 0.750 0.384 1
Se1 Se 0.166 0.250 0.752 1
Se2 Se 0.200 0.250 0.485 1
```